First-principles (GGA-PBEsol) data for an optimized crystal structure of FeSeS2, as listed in Alexandria.

Summary:
Electronic total energy, eV for the cell shown: -19.485
Volume, Å³/atom: 18.85
Symmetry: R-3m (166)

Cell lengths 7.7201, 7.7201, 7.7201 Å; angles 25.56, 25.56, 25.56 degrees
With the nearest neighbours (Å) after each atom.
Atoms (fractional coordinates):
Fe (0.0000, 0.0000, 0.0000)  2 S 2.08
Se (0.5000, 0.5000, 0.5000)  6 S 2.57
S (0.0929, 0.0929, 0.0929)  1 Fe 2.08
S (0.9071, 0.9071, 0.9071)  1 Fe 2.08

First-principles (GGA-PBEsol) data for an optimized crystal structure of Fe3Se4S2, as listed in Alexandria.

Summary:
Electronic total energy, eV for the cell shown: -111.174
Volume, Å³/atom: 14.93
Symmetry: Pm (6)

Cell lengths 7.3436, 3.4774, 10.6556 Å; angles 90.00, 99.08, 90.00 degrees
With the nearest neighbours (Å) after each atom.
Atoms (fractional coordinates):
Fe (0.0000, 0.0000, 0.0000)  2 S 2.24, 4 Se 2.29-2.33
Fe (0.1630, 0.5000, 0.3207)  1 S 2.19, 5 Se 2.30-2.33
Fe (0.3352, 0.0000, 0.6657)  2 S 2.26, 4 Se 2.30-2.33
Fe (0.5018, 0.5000, 0.9942)  2 S 2.24-2.25, 4 Se 2.31
Fe (0.6672, 0.0000, 0.3245)  4 S 2.27, 2 Se 2.29-2.30
Fe (0.8312, 0.5000, 0.6539)  1 S 2.22, 5 Se 2.31-2.33
Se (0.0109, 0.5000, 0.8552)  3 Fe 2.33, 1 S 2.51
Se (0.0177, 0.0000, 0.6079)  3 Fe 2.31-2.32, 1 Se 2.49
Se (0.3178, 0.0000, 0.0431)  3 Fe 2.31, 1 Se 2.44
Se (0.3443, 0.5000, 0.5210)  3 Fe 2.33, 1 S 2.53
Se (0.3502, 0.0000, 0.2750)  3 Fe 2.30-2.32, 1 Se 2.44
Se (0.6515, 0.0000, 0.7088)  3 Fe 2.30-2.31, 1 Se 2.50
Se (0.6854, 0.0000, 0.9461)  3 Fe 2.29-2.31, 1 Se 2.50
Se (0.9828, 0.0000, 0.3719)  3 Fe 2.29-2.30, 1 Se 2.49
S (0.3313, 0.5000, 0.8002)  3 Fe 2.24-2.26
S (0.6636, 0.5000, 0.4613)  3 Fe 2.22-2.27
S (0.6735, 0.5000, 0.1883)  3 Fe 2.25-2.27, 1 S 2.51
S (0.9925, 0.5000, 0.1320)  3 Fe 2.19-2.24